(1)
DFT (GGA-PBE) results for an optimized crystal structure of Hf2ScPd.

Unit cell a=4.817 b=4.817 c=4.817 alpha=60.00 beta=60.00 gamma=60.00
Sites, in units of the cell vectors:
1 Sc 0.000 0.000 0.000
2 Hf 0.250 0.250 0.250
3 Hf 0.750 0.750 0.750
4 Pd 0.500 0.500 0.500

Values from the calculation:
Symmetry: Fm-3m, No. 225
Energy relative to the lowest polymorph listed for this composition in meV per atom: 172
Formation energy from the elements in eV/atom: -0.08
Raw total energy in eV per atom: -7.9410

=====

(2)
DFT (GGA-PBE) results for an optimized crystal structure of BaLi2In4Ag.

Unit cell a=4.776 b=4.776 c=10.812 alpha=77.24 beta=77.24 gamma=60.00
Sites, in units of the cell vectors:
1 Ba 0.000 0.000 0.000
2 Li 0.779 0.779 0.663
3 Li 0.221 0.221 0.337
4 In 0.407 0.407 0.779
5 In 0.876 0.876 0.372
6 In 0.124 0.124 0.628
7 In 0.593 0.593 0.221
8 Ag 0.500 0.500 0.500

Values from the calculation:
Symmetry: R-3m, No. 166
Formation energy from the elements in eV/atom: -0.28
Raw total energy in eV per atom: -2.7235

=====

Which of these has the lowest formation energy from the elements?
BaLi2In4Ag

=====

What did the second record say?
DFT (GGA-PBE) results for an optimized crystal structure of BaLi2In4Ag.

Unit cell a=4.776 b=4.776 c=10.812 alpha=77.24 beta=77.24 gamma=60.00
Sites, in units of the cell vectors:
1 Ba 0.000 0.000 0.000
2 Li 0.779 0.779 0.663
3 Li 0.221 0.221 0.337
4 In 0.407 0.407 0.779
5 In 0.876 0.876 0.372
6 In 0.124 0.124 0.628
7 In 0.593 0.593 0.221
8 Ag 0.500 0.500 0.500

Values from the calculation:
Symmetry: R-3m, No. 166
Formation energy from the elements in eV/atom: -0.28
Raw total energy in eV per atom: -2.7235